# 1
Compound: BaVPbO4
Source: the Alexandria database
Functional: GGA+U
Structure: relaxed

Structure (extended XYZ):
```
14
Lattice="6.0327 0.0000 -0.4895 0.0000 6.0676 0.0000 -2.9208 0.0000 7.3935" Properties=species:S:1:pos:R:3 pbc="T T T"
Ba 1.4230 4.5507 6.4756
Ba 1.6889 1.5169 0.4284
V 0.8075 4.5507 1.9901
V 2.3044 1.5169 4.9140
Pb 3.8519 4.5507 3.2784
Pb -0.7400 1.5169 3.6256
O 3.2678 2.9003 5.3891
O -0.1560 5.9341 1.5150
O -0.1560 3.1674 1.5150
O 3.2678 0.1335 5.3891
O 2.3349 4.5507 1.0692
O 0.7770 1.5169 5.8349
O 1.0883 4.5507 3.6988
O 2.0236 1.5169 3.2052
```

Output
- final energy (eV/cell) = -93.00
- space group = P2_1/m (11)



# 2
Compound: Ba2VPbO5
Source: the Alexandria database
Functional: GGA+U
Structure: relaxed

Structure (extended XYZ):
```
18
Lattice="-0.3544 -2.2935 -2.4854 1.1255 -4.9658 6.7480 -10.4830 -0.1529 1.6359" Properties=species:S:1:pos:R:3 pbc="T T T"
Ba -7.7437 -5.7492 4.0833
Ba -7.3586 -1.7102 2.6274
Ba -2.7673 -1.6746 1.9399
Ba -1.8422 -5.6945 3.1913
V -4.9552 -4.5572 2.5857
V 0.3776 -2.7800 2.5115
Pb -10.6206 -1.5355 0.6052
Pb -4.3268 -5.9530 6.1103
O 0.6062 -4.0982 3.6953
O -9.0071 -3.9460 2.5995
O -8.4829 -1.3081 0.0906
O -6.0382 -3.5485 4.1356
O -4.6847 -6.0154 3.8927
O -5.1357 -3.2384 1.3944
O -3.4668 -3.5064 3.7300
O -2.1283 -6.1171 5.9483
O -1.0969 -3.8260 1.3608
O 0.1955 -1.3206 1.1907
```

Output
- final energy (eV/cell) = -116.13
- space group = Cmc2_1 (36)



# 3
Compound: Ba2PbW3O12
Source: the Alexandria database
Functional: GGA+U
Structure: relaxed

Structure (extended XYZ):
```
18
Lattice="-4.7445 4.6487 -3.0221 -4.2533 -2.4499 -5.4001 -7.1029 -0.9527 1.3766" Properties=species:S:1:pos:R:3 pbc="T T T"
Ba -10.0787 0.7801 -4.4103
Ba -6.0221 0.4661 -2.6352
Pb 0.0000 0.0000 0.0000
W -2.3723 2.3243 -1.5110
W -2.1267 -1.2249 -2.7000
W -3.5514 -0.4763 0.6883
O -8.9130 -0.2491 -1.0974
O -10.9388 1.5038 -6.7484
O -11.9703 -0.9463 -4.8244
O -7.4391 3.2515 -3.8464
O -12.1852 2.1587 -3.7842
O -7.1321 -1.1848 -5.3326
O -7.1878 1.4953 -5.9481
O -5.1620 -0.2576 -0.2972
O -4.1304 2.1924 -2.2212
O -8.6616 -2.0054 -3.1991
O -3.9156 -0.9125 -3.2613
O -8.9686 2.4309 -1.7129
```

Output
- final energy (eV/cell) = -127.54
- space group = R-3m (166)



# 4
Compound: Ba2PbWO6
Source: the Alexandria database
Functional: GGA+U
Structure: relaxed

Structure (extended XYZ):
```
20
Lattice="6.0298 0.0000 0.0000 3.0149 5.2220 0.0000 3.0149 1.7407 11.8615" Properties=species:S:1:pos:R:3 pbc="T T T"
Ba 9.0448 5.2220 5.0888
Ba 3.0149 1.7407 6.7728
Ba 9.0448 5.2220 10.8337
Ba 3.0149 1.7407 1.0278
Pb 6.0298 3.4813 2.7565
Pb 6.0298 3.4813 9.1050
W 0.0000 0.0000 0.0000
W 6.0298 3.4813 5.9308
O 7.4134 2.6825 4.7860
O 6.0298 5.0789 4.7860
O 4.6463 2.6825 4.7860
O 4.6463 4.2801 7.0755
O 6.0298 1.8837 7.0755
O 7.4134 4.2801 7.0755
O 7.6337 2.5553 10.7682
O 6.0298 5.3333 10.7682
O 4.4260 2.5553 10.7682
O 4.4260 4.4073 1.0934
O 6.0298 1.6293 1.0934
O 7.6337 4.4073 1.0934
```

Output
- final energy (eV/cell) = -132.41
- space group = R-3m (166)



# 5
Compound: BaPbWO6
Source: the Alexandria database
Functional: GGA+U
Structure: relaxed

Structure (extended XYZ):
```
18
Lattice="-0.9028 -3.6385 -4.1897 -0.7318 -1.6174 5.3344 -10.8746 3.2734 -0.4994" Properties=species:S:1:pos:R:3 pbc="T T T"
Ba 0.0000 0.0000 0.0000
Ba -5.4373 1.6367 -0.2497
Pb -3.5075 -1.4728 2.0348
Pb -9.0018 -0.5098 -1.3896
W -3.5645 -2.1465 -1.1398
W -8.9448 0.1639 1.7851
O -2.6286 -2.7623 0.4754
O -2.7708 -3.6351 -2.1489
O -8.1061 -0.7926 3.2837
O -9.7385 1.6525 2.7942
O -4.4488 -0.9211 0.1173
O -5.1235 -3.3404 -1.0492
O -10.4972 -0.9526 2.2406
O -4.4032 -1.1900 -2.6384
O -7.3858 1.3578 1.6945
O -2.0120 -1.0300 -1.5953
O -8.0604 -1.0615 0.5279
O -9.8807 0.7797 0.1699
```

Output
- final energy (eV/cell) = -119.26
- space group = P-31c (163)



# 6
Compound: BaPb2WO6
Source: the Alexandria database
Functional: GGA+U
Structure: relaxed

Structure (extended XYZ):
```
20
Lattice="-3.1913 -1.3964 -4.5870 5.0525 -3.7628 -2.3697 -3.2221 -6.9771 4.2091" Properties=species:S:1:pos:R:3 pbc="T T T"
Ba -1.5957 -0.6982 -2.2935
Ba 0.9152 -5.3700 0.9197
Pb 3.9044 -5.5801 -1.1057
Pb -1.3919 -8.2107 -0.3146
Pb -5.2654 -6.5562 -1.6419
Pb 0.0309 -3.9256 -2.4330
W -3.2067 -4.1867 -0.1889
W 2.5262 -1.8814 -1.1848
O 2.2706 -2.9643 -2.8375
O 0.0958 -7.9196 -3.5104
O -3.6315 -9.1720 0.0899
O -1.4567 -4.2167 0.7628
O 1.4871 -6.2403 -1.6775
O -1.9413 -10.2620 -1.7625
O -2.8480 -5.8960 -1.0701
O 0.5803 -1.8743 -0.9851
O -0.5500 -4.9020 -4.6600
O 1.0556 -8.8996 -1.0223
O -0.8109 -7.2343 1.9124
O -2.4166 -3.2367 -1.7253
```

Output
- final energy (eV/cell) = -129.87
- space group = P2_1/c (14)